Record 1
DFT (PBE-GGA) results for a relaxed structure of BeP2Pb.

Computed properties:
DFT total energy: -4.2624 eV per atom
Size of the total moment: 0.00 μB/f.u.
Symmetry: Cmmm

Cell: 3.3491 3.3491 7.5500 Å, 90.00 90.00 112.16°
Sites, in units of the cell vectors:
Be1 0.0000 0.0000 0.0000
P1 0.5000 0.5000 0.1480
P2 0.5000 0.5000 0.8520
Pb1 0.0000 0.0000 0.5000

Record 2
DFT (PBE-GGA) results for a relaxed structure of SmAg3Pd.

Computed properties:
DFT total energy: -3.6448 eV per atom
Size of the total moment: 0.00 μB/f.u.
Symmetry: I-4m2

Cell: 9.9885 9.9885 9.9885 Å, 149.40 149.40 43.82°
Sites, in units of the cell vectors:
Sm1 0.1893 0.1893 0.0000
Sm2 0.8107 0.8107 0.0000
Ag1 0.3764 0.1284 0.7520
Ag2 0.3764 0.6245 0.2480
Ag3 0.3755 0.6236 0.7520
Ag4 0.5695 0.0695 0.5000
Ag5 0.8716 0.6236 0.2480
Ag6 0.9305 0.4305 0.5000
Pd1 0.2500 0.7500 0.5000
Pd2 0.5000 0.5000 0.0000

Record 3
DFT (PBE-GGA) results for a relaxed structure of La3YB.

Computed properties:
Size of the total moment: 0.00 μB/f.u.
Symmetry: Pm-3m
ΔE to the lowest computed polymorph: 1.349 eV/atom

Cell: 5.7040 5.7040 5.7040 Å, 90.00 90.00 90.00°
Sites, in units of the cell vectors:
La1 0.0000 0.0000 0.5000
La2 0.0000 0.5000 0.0000
La3 0.5000 0.0000 0.0000
Y1 0.0000 0.0000 0.0000
B1 0.5000 0.5000 0.5000

What did the third record say?
DFT (PBE-GGA) results for a relaxed structure of La3YB.

Computed properties:
Size of the total moment: 0.00 μB/f.u.
Symmetry: Pm-3m
ΔE to the lowest computed polymorph: 1.349 eV/atom

Cell: 5.7040 5.7040 5.7040 Å, 90.00 90.00 90.00°
Sites, in units of the cell vectors:
La1 0.0000 0.0000 0.5000
La2 0.0000 0.5000 0.0000
La3 0.5000 0.0000 0.0000
Y1 0.0000 0.0000 0.0000
B1 0.5000 0.5000 0.5000

Number 3 is which compound?
La3YB

What is the size of the total moment in the first record?
0.00 μB/f.u.